Entry from the Alexandria database: a relaxed MgMnPd6 crystal (PBE).

```
MgMnPd6
1.0
3.614 2.086 3.192
-3.614 2.086 3.192
0.000 -4.173 3.192
Mg Mn Pd
1 1 6
direct
0.000 0.000 0.000 Mg
0.500 0.500 0.500 Mn
0.167 0.167 0.543 Pd
0.167 0.543 0.167 Pd
0.457 0.833 0.833 Pd
0.543 0.167 0.167 Pd
0.833 0.457 0.833 Pd
0.833 0.833 0.457 Pd
```

Properties
density of states at the Fermi level = 5.077 states/eV per cell
formation energy from the elements = 0.1278 eV/atom
relative energy among the computed polymorphs = 472.7 meV/atom
electronic total energy = -5.112 eV per atom